Model 1:
First-principles (PBE) data for crystalline BeNiBr2 at its relaxed geometry, as listed in Alexandria via LeMat-Bulk.

The mass density comes out at 5029 kg/m3. As for the total magnetic moment: 0.000 μB/atom. The symmetry is I-42d (122). As for the crystal system: tetragonal.

a = 5.3747 Å, b = 5.3747 Å, c = 6.4418 Å
α = 65.34°, β = 65.34°, γ = 90.00°
With the nearest neighbours (Å) after each atom.
Element x y z (fractional)
Ni1 0.0000 0.0000 0.0000  4 Br 2.37
Ni2 0.7500 0.2500 0.5000  4 Br 2.37
Br1 0.6032 0.1250 0.2500  2 Be 2.24, 2 Ni 2.37
Br2 0.1468 0.6250 0.2500  2 Be 2.24, 2 Ni 2.37
Br3 0.3750 0.3968 0.7500  2 Be 2.24, 2 Ni 2.37
Br4 0.8750 0.8532 0.7500  2 Be 2.24, 2 Ni 2.37
Be1 0.5000 0.5000 0.0000  4 Br 2.24
Be2 0.2500 0.7500 0.5000  4 Br 2.24

=====

Model 2:
First-principles (PBE) data for crystalline BeNiBr2 at its relaxed geometry, as listed in Alexandria via LeMat-Bulk.

The mass density comes out at 3899 kg/m3. As for the total magnetic moment: 0.019 μB/atom. The symmetry is Cmm2 (35). As for the crystal system: orthorhombic.

a = 3.9547 Å, b = 3.9547 Å, c = 7.3578 Å
α = 90.00°, β = 90.00°, γ = 122.64°
With the nearest neighbours (Å) after each atom.
Element x y z (fractional)
Ni1 0.0000 0.0000 0.5682  2 Be 2.08, 1 Br 2.27
Br1 0.0000 0.0000 0.8773  1 Ni 2.27, 2 Be 2.38
Br2 0.5000 0.5000 0.3712  1 Be 2.30, 2 Ni 2.39
Be1 0.5000 0.5000 0.6833  2 Ni 2.08, 1 Br 2.30

=====

Preferred: model 2; penalty for the next structure: 17.8 kJ/mol of atoms.

=====

Model 1:
First-principles (PBE) data for crystalline Be2NiBr2 at its relaxed geometry, as listed in Alexandria via LeMat-Bulk.

The mass density comes out at 4311 kg/m3. As for the total magnetic moment: 0.000 μB/atom. The symmetry is P4/mbm (127). As for the crystal system: tetragonal.

a = 7.2891 Å, b = 7.2891 Å, c = 3.4297 Å
α = 90.00°, β = 90.00°, γ = 90.00°
With the nearest neighbours (Å) after each atom.
Element x y z (fractional)
Ni1 0.0000 0.0000 0.0000  4 Br 2.58
Ni2 0.5000 0.5000 0.0000  4 Br 2.58
Br1 0.2345 0.7345 0.0000  2 Be 2.21
Br2 0.7345 0.7655 0.0000  2 Be 2.21
Br3 0.7655 0.2655 0.0000  2 Be 2.21
Br4 0.2655 0.2345 0.0000  2 Be 2.21
Be1 0.1000 0.6000 0.5000  1 Be 2.06, 2 Br 2.21
Be2 0.6000 0.9000 0.5000  1 Be 2.06, 2 Br 2.21
Be3 0.9000 0.4000 0.5000  1 Be 2.06, 2 Br 2.21
Be4 0.4000 0.1000 0.5000  1 Be 2.06, 2 Br 2.21

=====

Model 2:
First-principles (PBE) data for crystalline Be2NiBr2 at its relaxed geometry, as listed in Alexandria via LeMat-Bulk.

The mass density comes out at 4560 kg/m3. As for the total magnetic moment: 0.000 μB/atom. The symmetry is I4/mmm (139). As for the crystal system: tetragonal.

a = 4.8141 Å, b = 4.8141 Å, c = 5.0399 Å
α = 61.47°, β = 61.47°, γ = 90.00°
With the nearest neighbours (Å) after each atom.
Element x y z (fractional)
Ni1 0.0000 0.0000 0.0000  2 Br 2.22
Br1 0.2992 0.2992 0.4017  1 Ni 2.22, 4 Be 2.43
Br2 0.7008 0.7008 0.5983  1 Ni 2.22, 4 Be 2.43
Be1 0.7500 0.2500 0.5000  4 Br 2.43
Be2 0.2500 0.7500 0.5000  4 Br 2.43

=====

Preferred: model 1; penalty for the next structure: 29.6 kJ/mol of atoms.

=====

Model 1:
First-principles (PBE) data for crystalline BeNiBr at its relaxed geometry, as listed in Alexandria via LeMat-Bulk.

The mass density comes out at 5273 kg/m3. As for the total magnetic moment: 0.000 μB/atom. The symmetry is F-43m (216). As for the crystal system: cubic.

a = 4.0359 Å, b = 4.0359 Å, c = 4.0359 Å
α = 60.00°, β = 60.00°, γ = 60.00°
With the nearest neighbours (Å) after each atom.
Element x y z (fractional)
Ni1 0.7500 0.7500 0.7500  4 Br 2.47, 4 Be 2.47
Br1 0.5000 0.5000 0.5000  4 Ni 2.47
Be1 0.0000 0.0000 0.0000  4 Ni 2.47

=====

Model 2:
First-principles (PBE) data for crystalline BeNiBr at its relaxed geometry, as listed in Alexandria via LeMat-Bulk.

The mass density comes out at 5545 kg/m3. As for the total magnetic moment: 0.000 μB/atom. The symmetry is P3m1 (156). As for the crystal system: trigonal.

a = 3.1502 Å, b = 3.1502 Å, c = 5.1436 Å
α = 90.00°, β = 90.00°, γ = 120.00°
With the nearest neighbours (Å) after each atom.
Element x y z (fractional)
Ni1 0.6667 0.3333 0.7108  3 Be 2.32
Br1 0.3333 0.6667 0.2974  3 Be 2.40
Be1 0.0000 0.0000 0.9919  3 Ni 2.32, 3 Br 2.40

=====

Preferred: model 2; penalty for the next structure: 18.9 kJ/mol of atoms.

=====

Model 1:
First-principles (PBE) data for crystalline BeNiBr at its relaxed geometry, as listed in Alexandria via LeMat-Bulk.

The mass density comes out at 5541 kg/m3. As for the total magnetic moment: 0.000 μB/atom. The symmetry is Cm (8). As for the crystal system: monoclinic.

a = 5.8039 Å, b = 4.8305 Å, c = 4.8305 Å
α = 142.44°, β = 147.60°, γ = 47.79°
With the nearest neighbours (Å) after each atom.
Element x y z (fractional)
Ni1 0.5392 0.6148 0.9244  4 Be 2.27-2.36, 1 Br 2.48
Br1 0.3964 0.3492 0.0472  3 Ni 2.48-2.68, 2 Be 2.51
Be1 0.0644 0.0360 0.0284  4 Ni 2.27-2.36, 2 Br 2.51

=====

Model 2:
First-principles (PBE) data for crystalline BeNiBr at its relaxed geometry, as listed in Alexandria via LeMat-Bulk.

The mass density comes out at 5137 kg/m3. As for the total magnetic moment: 0.000 μB/atom. The symmetry is Fmm2 (42). As for the crystal system: orthorhombic.

a = 6.0782 Å, b = 5.6319 Å, c = 3.2031 Å
α = 81.98°, β = 66.57°, γ = 31.45°
With the nearest neighbours (Å) after each atom.
Element x y z (fractional)
Ni1 0.3596 0.3596 0.6404  2 Be 2.16
Br1 0.6446 0.6446 0.3554  2 Be 2.26
Be1 0.9958 0.9958 0.0042  2 Ni 2.16, 2 Br 2.26

=====

Preferred: model 1; penalty for the next structure: 5.0 kJ/mol of atoms.